Entry 1:
Here is a relaxed structure of LiLa2B3Pt12 from Alexandria. Energies are from PBE-GGA.

Cell: 7.3279 7.3279 7.3279 Å, 66.01 66.01 66.01°
Positions (direct):
1 Li 0.0000 0.0000 0.0000
2 La 0.3873 0.3873 0.3873
3 La 0.6127 0.6127 0.6127
4 B 0.0000 0.0000 0.5000
5 B 0.0000 0.5000 0.0000
6 B 0.5000 0.0000 0.0000
7 Pt 0.0887 0.6752 0.6752
8 Pt 0.1174 0.1174 0.6316
9 Pt 0.1174 0.6316 0.1174
10 Pt 0.3248 0.3248 0.9114
11 Pt 0.3248 0.9114 0.3248
12 Pt 0.3684 0.8826 0.8826
13 Pt 0.6316 0.1174 0.1174
14 Pt 0.6752 0.0887 0.6752
15 Pt 0.6752 0.6752 0.0887
16 Pt 0.8826 0.3684 0.8826
17 Pt 0.8826 0.8826 0.3684
18 Pt 0.9114 0.3248 0.3248

Summary:
- Symmetry: R-3m
- DOS at the Fermi energy: 0.291 states/eV per atom
- Energy relative to the elements: -500 meV per atom
- E_tot: -6.294 eV/atom


Entry 2:
Here is a relaxed structure of CaN2F2 from Alexandria. Energies are from PBE-GGA.

Cell: 4.4006 4.4006 5.7897 Å, 90.00 90.00 90.00°
Positions (direct):
1 Ca 0.0000 0.0000 0.0000
2 N 0.0000 0.0000 0.5000
3 N 0.5000 0.5000 0.5000
4 F 0.0000 0.5000 0.0000
5 F 0.5000 0.0000 0.0000

Summary:
- Energy above the lowest structure with this stoichiometry: 2266.4 meV per atom
- Symmetry: P4/mmm
- Formation energy (no corrections): -0.0117 eV per atom
- E_tot: -4.491 eV/atom


Entry 3:
Here is a relaxed structure of NaSrAcZn from Alexandria. Energies are from PBE-GGA.

Cell: 5.7951 5.7951 5.7951 Å, 60.00 60.00 60.00°
Positions (direct):
1 Na 0.0000 0.0000 0.0000
2 Sr 0.7500 0.7500 0.7500
3 Ac 0.2500 0.2500 0.2500
4 Zn 0.5000 0.5000 0.5000

Summary:
- Symmetry: F-43m
- DOS at the Fermi energy: 0.711 states/eV per atom
- Energy relative to the elements: 34 meV per atom
- E_tot: -2.062 eV/atom


Entry 4:
Here is a relaxed structure of Li8CdSn6 from Alexandria. Energies are from PBE-GGA.

Cell: 7.2584 7.2584 7.2584 Å, 67.41 67.41 67.41°
Positions (direct):
1 Li 0.1154 0.4222 0.6389
2 Li 0.2347 0.2347 0.2347
3 Li 0.3611 0.8846 0.5778
4 Li 0.4222 0.6389 0.1154
5 Li 0.5778 0.3611 0.8846
6 Li 0.6389 0.1154 0.4222
7 Li 0.7653 0.7653 0.7653
8 Li 0.8846 0.5778 0.3611
9 Cd 0.5000 0.5000 0.5000
10 Sn 0.0770 0.8658 0.3554
11 Sn 0.1342 0.6446 0.9230
12 Sn 0.3554 0.0770 0.8658
13 Sn 0.6446 0.9230 0.1342
14 Sn 0.8658 0.3554 0.0770
15 Sn 0.9230 0.1342 0.6446

Summary:
- Symmetry: R-3
- DOS at the Fermi energy: 0.317 states/eV per atom
- Energy relative to the elements: -215 meV per atom
- E_tot: -2.898 eV/atom


Entry 5:
Here is a relaxed structure of HoPd3Au4 from Alexandria. Energies are from PBE-GGA.

Cell: 8.8696 8.8696 8.8696 Å, 153.52 152.78 38.34°
Positions (direct):
1 Ho 0.0000 0.0000 0.0000
2 Pd 0.1252 0.6252 0.5000
3 Pd 0.5000 0.5000 0.0000
4 Pd 0.8748 0.3748 0.5000
5 Au 0.2532 0.2532 0.0000
6 Au 0.3747 0.8747 0.5000
7 Au 0.6253 0.1253 0.5000
8 Au 0.7468 0.7468 0.0000

Summary:
- Energy above the lowest structure with this stoichiometry: 0.0 meV per atom
- Symmetry: Immm
- DOS at the Fermi energy: 0.381 states/eV per atom
- Energy relative to the elements: -477 meV per atom
- E_tot: -4.635 eV/atom


Entry 6:
Here is a relaxed structure of ZnOsRu2 from Alexandria. Energies are from PBE-GGA.

Cell: 5.0676 5.0676 5.0676 Å, 146.46 128.32 63.03°
Positions (direct):
1 Zn 0.0000 0.0000 0.0000
2 Os 0.5000 0.5000 0.0000
3 Ru 0.2406 0.7406 0.5000
4 Ru 0.7594 0.2594 0.5000

Summary:
- Symmetry: Immm
- DOS at the Fermi energy: 0.998 states/eV per atom
- Energy relative to the elements: 279 meV per atom
- E_tot: -7.485 eV/atom